A plane-wave DFT calculation with PBE-GGA was carried out for a relaxed structure of LiRe3Au.

For the polymorph energy (0 for the lowest one), the calculation gives 34.007 kcal/mol of atoms. Its raw total energy is -0.414 Ry/atom. The density of states at the Fermi level is 7.31 states/eV per cell. The formation energy is 2879.2 meV per atom.

The space group is Pm-3m (No. 221) and the conventional cell measures 4.870, 4.870 and 4.870 Å, with angles of 90.00, 90.00 and 90.00 degrees. The inequivalent atoms are Li at (0.000, 0.000, 0.000), Re at (0.000, 0.500, 0.500) and Au at (0.500, 0.500, 0.500).



A plane-wave DFT calculation with PBE-GGA was carried out for a relaxed structure of LiRe2Au.

For the polymorph energy (0 for the lowest one), the calculation gives 1.202 kcal/mol of atoms. Its raw total energy is -0.539 Ry/atom. The density of states at the Fermi level is 4.96 states/eV per cell. The formation energy is 187.6 meV per atom.

The space group is Cmm2 (No. 35) and the conventional cell measures 2.919, 4.583 and 9.374 Å, with angles of 90.00, 90.00 and 90.00 degrees. The inequivalent atoms are Li at (0.000, 0.000, 0.000), Re at (0.000, 0.000, 0.517), Re at (0.000, 0.500, 0.748) and Au at (0.000, 0.500, 0.240).



A plane-wave DFT calculation with PBE-GGA was carried out for a relaxed structure of LiRe2Au.

For the polymorph energy (0 for the lowest one), the calculation gives 9.555 kcal/mol of atoms. Its raw total energy is -0.512 Ry/atom. The density of states at the Fermi level is 19.80 states/eV per cell. The formation energy is 549.9 meV per atom.

The space group is R-3m (No. 166, hexagonal axes) and the conventional cell measures 2.7541, 2.7541 and 28.6389 Å, with angles of 90.00, 90.00 and 120.00 degrees. The inequivalent atoms are Li at (0.0000, 0.0000, 0.0000), Re at (0.0000, 0.0000, 0.2504) and Au at (0.0000, 0.0000, 0.5000).



A plane-wave DFT calculation with PBE-GGA was carried out for a relaxed structure of LiRe2Au.

For the polymorph energy (0 for the lowest one), the calculation gives 3.752 kcal/mol of atoms. Its raw total energy is -0.531 Ry/atom. The density of states at the Fermi level is 2.59 states/eV per cell. The formation energy is 298.2 meV per atom.

The space group is P4/mmm (No. 123) and the conventional cell measures 3.646, 3.646 and 4.489 Å, with angles of 90.00, 90.00 and 90.00 degrees. The inequivalent atoms are Li at (0.000, 0.000, 0.000), Re at (0.000, 0.500, 0.500) and Au at (0.500, 0.500, 0.000).



A plane-wave DFT calculation with PBE-GGA was carried out for a relaxed structure of LiRe2Au.

For the polymorph energy (0 for the lowest one), the calculation gives 6.231 kcal/mol of atoms. Its raw total energy is -0.523 Ry/atom. The density of states at the Fermi level is 2.36 states/eV per cell. The formation energy is 405.7 meV per atom.

The space group is Pmmm (No. 47) and the conventional cell measures 2.658, 4.475 and 5.119 Å, with angles of 90.00, 90.00 and 90.00 degrees. The inequivalent atoms are Li at (0.000, 0.000, 0.000), Re at (0.500, 0.500, 0.232) and Au at (0.000, 0.000, 0.500).



A plane-wave DFT calculation with PBE-GGA was carried out for a relaxed structure of Li2Re2Au.

For the polymorph energy (0 for the lowest one), the calculation gives 1.856 kcal/mol of atoms. Its raw total energy is -0.428 Ry/atom. The density of states at the Fermi level is 4.29 states/eV per cell. The formation energy is 575.1 meV per atom.

The space group is P4/mbm (No. 127) and the conventional cell measures 7.390, 7.390 and 2.725 Å, with angles of 90.00, 90.00 and 90.00 degrees. The inequivalent atoms are Li at (0.184, 0.316, 0.000), Re at (0.109, 0.609, 0.500) and Au at (0.000, 0.000, 0.000).



A plane-wave DFT calculation with PBE-GGA was carried out for a relaxed structure of LiRe3Au.

For the polymorph energy (0 for the lowest one), the calculation gives 0.000 kcal/mol of atoms. Its raw total energy is -0.522 Ry/atom. The density of states at the Fermi level is 4.91 states/eV per cell. The formation energy is 1404.5 meV per atom.

The space group is Pm-3m (No. 221) and the conventional cell measures 4.166, 4.166 and 4.166 Å, with angles of 90.00, 90.00 and 90.00 degrees. The inequivalent atoms are Li at (0.000, 0.000, 0.000), Re at (0.000, 0.000, 0.500) and Au at (0.500, 0.500, 0.500).



A plane-wave DFT calculation with PBE-GGA was carried out for a relaxed structure of Li4ReAu.

Its raw total energy is -0.259 Ry/atom. The density of states at the Fermi level is 14.07 states/eV per cell. The formation energy is 370.3 meV per atom.

The space group is F-43m (No. 216) and the conventional cell measures 6.876, 6.876 and 6.876 Å, with angles of 90.00, 90.00 and 90.00 degrees. The inequivalent atoms are Li at (0.125, 0.125, 0.125), Re at (0.250, 0.250, 0.750) and Au at (0.000, 0.000, 0.500).